No. 1
# GGA-PBE YAl2Cu4, optimized geometry
# DFT formation energy	0.20	eV/atom
# DOS(E_F)	4.2	states/eV/cell
# space group	No. 139
data_YAl2Cu4
_space_group_name_H-M_alt 'P 1'
_space_group_IT_number 1
_space_group_name_Hall 'P 1'
_cell_length_a 5.7423
_cell_length_b 5.7423
_cell_length_c 5.7423
_cell_angle_alpha 102.79
_cell_angle_beta 102.79
_cell_angle_gamma 123.86
loop_
_atom_site_label
_atom_site_type_symbol
_atom_site_fract_x
_atom_site_fract_y
_atom_site_fract_z
Y1 Y 0.0000 0.0000 0.0000
Al1 Al 0.2500 0.7500 0.5000
Al2 Al 0.7500 0.2500 0.5000
Cu1 Cu 0.2725 0.5000 0.7725
Cu2 Cu 0.5000 0.2725 0.7725
Cu3 Cu 0.5000 0.7275 0.2275
Cu4 Cu 0.7275 0.5000 0.2275

***

No. 2
# GGA-PBE Y3AlCu3, optimized geometry
# DFT formation energy	-0.29	eV/atom
# DOS(E_F)	14.5	states/eV/cell
# space group	No. 12
data_Y3AlCu3
_space_group_name_H-M_alt 'P 1'
_space_group_IT_number 1
_space_group_name_Hall 'P 1'
_cell_length_a 5.6578
_cell_length_b 5.6578
_cell_length_c 14.2762
_cell_angle_alpha 108.38
_cell_angle_beta 108.38
_cell_angle_gamma 43.43
loop_
_atom_site_label
_atom_site_type_symbol
_atom_site_fract_x
_atom_site_fract_y
_atom_site_fract_z
Y1 Y 0.0240 0.0240 0.3827
Y2 Y 0.1051 0.1051 0.9213
Y3 Y 0.2464 0.2464 0.2314
Y4 Y 0.7536 0.7536 0.7686
Y5 Y 0.8949 0.8949 0.0787
Y6 Y 0.9760 0.9760 0.6173
Al1 Al 0.2564 0.2564 0.5929
Al2 Al 0.7436 0.7436 0.4071
Cu1 Cu 0.3717 0.3717 0.4568
Cu2 Cu 0.3957 0.3957 0.9222
Cu3 Cu 0.4577 0.4577 0.7644
Cu4 Cu 0.5423 0.5423 0.2356
Cu5 Cu 0.6043 0.6043 0.0778
Cu6 Cu 0.6283 0.6283 0.5432

***

No. 3
# GGA-PBE Y3Al3Cu, optimized geometry
# DFT formation energy	-0.42	eV/atom
# DOS(E_F)	11.6	states/eV/cell
# space group	No. 12
data_Y3Al3Cu
_space_group_name_H-M_alt 'P 1'
_space_group_IT_number 1
_space_group_name_Hall 'P 1'
_cell_length_a 5.8328
_cell_length_b 5.8328
_cell_length_c 14.3898
_cell_angle_alpha 108.96
_cell_angle_beta 108.96
_cell_angle_gamma 44.48
loop_
_atom_site_label
_atom_site_type_symbol
_atom_site_fract_x
_atom_site_fract_y
_atom_site_fract_z
Y1 Y 0.0324 0.0324 0.3828
Y2 Y 0.1014 0.1014 0.9210
Y3 Y 0.2474 0.2474 0.2287
Y4 Y 0.7526 0.7526 0.7713
Y5 Y 0.8986 0.8986 0.0790
Y6 Y 0.9676 0.9676 0.6172
Al1 Al 0.3594 0.3594 0.4593
Al2 Al 0.3897 0.3897 0.9234
Al3 Al 0.4559 0.4559 0.7618
Al4 Al 0.5441 0.5441 0.2382
Al5 Al 0.6103 0.6103 0.0766
Al6 Al 0.6406 0.6406 0.5407
Cu1 Cu 0.2510 0.2510 0.6023
Cu2 Cu 0.7490 0.7490 0.3977